Zr6In5Mo | PBE | relaxed

Properties
Formation enthalpy at 0 K   -248 meV per atom
Space-group type   P2/m

a = 5.302 Å, b = 6.406 Å, c = 7.648 Å
α = 90.00°, β = 94.33°, γ = 90.00°
Fractional coordinates of all 12 atoms:
Zr: 0.000 0.244 0.000
Zr: 0.000 0.756 0.000
Zr: 0.349 0.244 0.680
Zr: 0.349 0.756 0.680
Zr: 0.651 0.244 0.320
Zr: 0.651 0.756 0.320
In: 0.158 0.500 0.342
In: 0.165 0.000 0.332
In: 0.500 0.500 0.000
In: 0.835 0.000 0.668
In: 0.842 0.500 0.658
Mo: 0.500 0.000 0.000


LaTb3Pm2S6 | PBE | relaxed

Properties
Uncorrected formation energy   -2.05 eV/atom
Space-group type   C2/m

a = 6.913 Å, b = 6.913 Å, c = 6.965 Å
α = 99.51°, β = 99.51°, γ = 120.16°
Fractional coordinates of all 12 atoms:
La: 0.000 0.000 0.000
Tb: 0.166 0.834 0.500
Tb: 0.500 0.500 0.500
Tb: 0.834 0.166 0.500
Pm: 0.333 0.667 0.000
Pm: 0.667 0.333 0.000
S: 0.088 0.425 0.263
S: 0.250 0.250 0.738
S: 0.425 0.088 0.263
S: 0.575 0.912 0.737
S: 0.750 0.750 0.262
S: 0.912 0.575 0.737


Number 1: raw total energy -6.5660 eV/atom. Number 2: raw total energy -6.4726 eV/atom.